{"formula": "MnCoF4", "functional": "GGA+U", "state": "optimized geometry", "e_above_lowest_polymorph_ev_per_atom": 0.011, "space_group": "Pnc2", "m_tot_mub_per_cell": 16.0, "cell": [[-0.088, 1.279, 4.623], [2.637, -4.551, 1.309], [5.140, 2.786, -0.673]], "species": ["Mn", "Mn", "Co", "Co", "F", "F", "F", "F", "F", "F", "F", "F"], "fractional_positions": [[0.000, 0.500, 0.160], [0.500, 0.500, 0.660], [0.000, 0.000, 0.850], [0.500, 0.000, 0.350], [0.236, 0.840, 0.114], [0.219, 0.325, 0.881], [0.281, 0.325, 0.381], [0.264, 0.840, 0.614], [0.719, 0.675, 0.381], [0.736, 0.160, 0.614], [0.764, 0.160, 0.114], [0.781, 0.675, 0.881]]}